Entry from Alexandria: a geometry-optimized Pa2Mo2O7 structure (GGA+U).

## Properties
total energy	-8.64	eV/atom
SG	Cmmm, No. 65

Lattice parameters (Å, degrees): 5.378 5.338 5.378 90.02 90.56 90.02
Atoms (fractional coordinates):
Pa 0.729 0.000 0.271
Pa 0.271 0.000 0.729
Mo 0.766 0.500 0.766
Mo 0.234 0.500 0.234
O 0.000 0.256 0.500
O 0.500 0.744 0.000
O 0.000 0.744 0.500
O 0.500 0.256 0.000
O 0.000 0.000 0.000
O 0.500 0.755 0.500
O 0.500 0.245 0.500